A plane-wave DFT calculation with PBE with a Hubbard U was carried out for a relaxed structure of MgCr2O6.

Computed properties:
Crystal system: orthorhombic
Uncorrected energy: -118.57 eV per cell
Symmetry: Pmn2_1, No. 31
Size of the total moment: 4.00 μB per cell

Structure (CIF):
```
data_MgCr2O6
_chemical_formula_sum 'Mg2 Cr4 O12'
_cell_length_a 5.004
_cell_length_b 5.290
_cell_length_c 7.142
_cell_angle_alpha 90.00
_cell_angle_beta 90.00
_cell_angle_gamma 90.00
_space_group_name_H-M_alt 'P 1'
_space_group_IT_number 1
_space_group_name_Hall 'P 1'
loop_
_atom_site_label
_atom_site_type_symbol
_atom_site_fract_x
_atom_site_fract_y
_atom_site_fract_z
Cr1 Cr 0.529 0.768 0.741
Cr2 Cr 0.029 0.232 0.759
Cr3 Cr 0.029 0.232 0.241
Cr4 Cr 0.529 0.768 0.259
Mg1 Mg 0.528 0.324 0.500
Mg2 Mg 0.028 0.676 0.000
O1 O 0.685 0.056 0.315
O2 O 0.185 0.944 0.185
O3 O 0.768 0.531 0.691
O4 O 0.268 0.469 0.809
O5 O 0.268 0.469 0.191
O6 O 0.768 0.531 0.309
O7 O 0.185 0.944 0.815
O8 O 0.685 0.056 0.685
O9 O 0.136 0.227 0.500
O10 O 0.636 0.773 0.000
O11 O 0.385 0.730 0.500
O12 O 0.885 0.270 0.000
```